A relaxed GdPaTcNi crystal. Source: Alexandria, functional GGA-PBE.

Output
* energy of formation: -0.141 eV per atom
* N(E_F): 15.3 states/eV/cell
* M_tot: 27.9 Bohr magnetons per cell

a b c (Å): 6.827 6.827 6.827
angles (deg): 90.00 90.00 90.00
Space group F-43m (No. 216)
Unique sites:
Gd: 0.000 0.000 0.000 x4
Pa: 0.000 0.000 0.500 x4
Tc: 0.250 0.250 0.250 x4
Ni: 0.250 0.250 0.750 x4